1.
The following is a PBE-GGA calculation of crystalline YRhS2 at its relaxed geometry, from Alexandria via LeMat-Bulk.

* mass density: 4.2 g/cm³
* E above lowest polymorph: 221 meV/atom
* uncorrected formation energy: -788 meV/atom
* V: 300.5 Å³ per cell
* crystal system: trigonal

a b c (Å): 3.9160 3.9160 22.6277
angles (deg): 90.00 90.00 120.00
Space group R-3m (No. 166, hexagonal axes)
Symmetry-distinct sites (fractional):
Y (0.0000, 0.0000, 0.0000)
Rh (0.0000, 0.0000, 0.5000)
S (0.0000, 0.0000, 0.3996)


2.
The following is a PBE-GGA calculation of crystalline BaCo3C at its relaxed geometry, from Alexandria via LeMat-Bulk.

* mass density: 4.8 g/cm³
* E above lowest polymorph: 2873 meV/atom
* ΔE_f: 3.481 eV/atom
* V: 113.2 Å³ per cell
* crystal system: cubic

a b c (Å): 4.838 4.838 4.838
angles (deg): 90.00 90.00 90.00
Space group Pm-3m (No. 221)
Symmetry-distinct sites (fractional):
Ba (0.000, 0.000, 0.000)
Co (0.000, 0.000, 0.500)
C (0.500, 0.500, 0.500)